(1)
The following is a PBE calculation of an optimized crystal structure of NbBAu3, from the Alexandria database.

Cell lengths 5.157, 5.157, 5.157 Å; angles 90.00, 90.00, 90.00 degrees
Space group Pm-3m (No. 221)
Asymmetric unit:
Nb 0.000 0.000 0.000 (multiplicity 1)
B 0.500 0.500 0.500 (multiplicity 1)
Au 0.000 0.000 0.500 (multiplicity 3)

Calculated values
V   27.4 Å³/atom
Total magnetization   0.0 μB per cell
ΔE_f   1829 meV per atom
Final energy   -3.487 eV/atom

***

(2)
The following is a PBE calculation of an optimized crystal structure of NbBAu2, from the Alexandria database.

Cell lengths 7.195, 7.195, 4.948 Å; angles 90.00, 90.00, 90.00 degrees
Space group I-42d (No. 122)
Asymmetric unit:
Nb 0.000 0.000 0.000 (multiplicity 4)
B 0.000 0.000 0.500 (multiplicity 4)
Au 0.160 0.250 0.625 (multiplicity 8)

Calculated values
V   16.0 Å³/atom
Total magnetization   0.0 μB per cell
ΔE_f   373 meV per atom
Final energy   -5.453 eV/atom

***

(3)
The following is a PBE calculation of an optimized crystal structure of Nb2BAu, from the Alexandria database.

Cell lengths 6.807, 6.807, 5.542 Å; angles 90.00, 90.00, 90.00 degrees
Space group I-42d (No. 122)
Asymmetric unit:
Nb 0.197 0.250 0.125 (multiplicity 8)
B 0.000 0.000 0.000 (multiplicity 4)
Au 0.000 0.000 0.500 (multiplicity 4)

Calculated values
V   16.0 Å³/atom
Total magnetization   0.0 μB per cell
ΔE_f   205 meV per atom
Final energy   -7.319 eV/atom

***

(4)
The following is a PBE calculation of an optimized crystal structure of NbB3Au, from the Alexandria database.

Cell lengths 4.278, 4.278, 4.278 Å; angles 90.00, 90.00, 90.00 degrees
Space group Pm-3m (No. 221)
Asymmetric unit:
Nb 0.000 0.000 0.000 (multiplicity 1)
B 0.000 0.000 0.500 (multiplicity 3)
Au 0.500 0.500 0.500 (multiplicity 1)

Calculated values
V   15.7 Å³/atom
Total magnetization   0.0 μB per cell
ΔE_f   1672 meV per atom
Final energy   -5.004 eV/atom

***

(5)
The following is a PBE calculation of an optimized crystal structure of NbBAu3, from the Alexandria database.

Cell lengths 4.385, 4.385, 4.385 Å; angles 90.00, 90.00, 90.00 degrees
Space group Pm-3m (No. 221)
Asymmetric unit:
Nb 0.000 0.000 0.000 (multiplicity 1)
B 0.500 0.500 0.500 (multiplicity 1)
Au 0.000 0.500 0.500 (multiplicity 3)

Calculated values
V   16.9 Å³/atom
Total magnetization   1.9 μB per cell
ΔE_f   483 meV per atom
Final energy   -4.833 eV/atom

***

(6)
The following is a PBE calculation of an optimized crystal structure of NbB3Au, from the Alexandria database.

Cell lengths 4.108, 4.108, 4.108 Å; angles 90.00, 90.00, 90.00 degrees
Space group Pm-3m (No. 221)
Asymmetric unit:
Nb 0.000 0.000 0.000 (multiplicity 1)
B 0.000 0.500 0.500 (multiplicity 3)
Au 0.500 0.500 0.500 (multiplicity 1)

Calculated values
V   13.9 Å³/atom
Total magnetization   0.0 μB per cell
ΔE_f   1820 meV per atom
Final energy   -4.856 eV/atom